# GGA-PBE Ca3Np5O12, optimized geometry
# - Raw formation energy: -272 kJ/mol of atoms
# - Magnetization: 16.9 μB/f.u.
data_Ca3Np5O12
_chemical_formula_sum 'Ca24 Np40 O96'
_symmetry_space_group_name_H-M 'I a -3 d'
_symmetry_Int_Tables_number 230
_symmetry_space_group_name_Hall '-I 4bd 2c 3'
_cell_length_a 13.775
_cell_length_b 13.775
_cell_length_c 13.775
_cell_angle_alpha 90.00
_cell_angle_beta 90.00
_cell_angle_gamma 90.00
loop_
_atom_site_label
_atom_site_type_symbol
_atom_site_fract_x
_atom_site_fract_y
_atom_site_fract_z
Ca1 Ca 0.000 0.250 0.125
Np1 Np 0.000 0.000 0.000
Np2 Np 0.000 0.250 0.375
O1 O 0.022 0.058 0.650